Computed, not measured: a geometry-optimized KLaTcSn2 structure at the PBE level of DFT.

a b c (Å): 5.2086 5.2086 5.3943
angles (deg): 90.00 90.00 90.00
With the nearest neighbours (Å) after each atom.
Space group P4/mmm (No. 123)
Asymmetric unit:
1 K 0.0000 0.0000 0.0000  2 Tc 2.70
2 La 0.5000 0.5000 0.0000  4 K 3.68, 8 Sn 3.75
3 Tc 0.0000 0.0000 0.5000  4 Sn 2.60, 2 K 2.70
4 Sn 0.0000 0.5000 0.5000  2 Tc 2.60

Output
DFT formation energy = 0.3417 eV/atom